Entry 1:
Material: Ba2TiB2
Method: DFT, PBE
State: relaxed

Unit cell a=8.541 b=8.541 c=3.273 alpha=90.00 beta=90.00 gamma=90.00
Sites, in units of the cell vectors:
1 Ba 0.137 0.363 0.000
2 Ba 0.363 0.863 0.000
3 Ba 0.637 0.137 0.000
4 Ba 0.863 0.637 0.000
5 Ti 0.000 0.000 0.000
6 Ti 0.500 0.500 0.000
7 B 0.161 0.661 0.500
8 B 0.339 0.161 0.500
9 B 0.661 0.839 0.500
10 B 0.839 0.339 0.500

N(E_F) (states/eV/atom): 1.31
Total DFT energy (no corrections) (eV/atom): -3.53

---

Entry 2:
Material: BaTl2B
Method: DFT, PBE
State: relaxed

Unit cell a=7.243 b=7.243 c=7.243 alpha=119.94 beta=119.94 gamma=90.11
Sites, in units of the cell vectors:
1 Ba 0.000 0.000 0.000
2 Ba 0.750 0.250 0.500
3 Tl 0.318 0.625 0.193
4 Tl 0.375 0.568 0.693
5 Tl 0.432 0.125 0.807
6 Tl 0.875 0.682 0.307
7 B 0.250 0.750 0.500
8 B 0.500 0.500 0.000

N(E_F) (states/eV/atom): 0.16
Total DFT energy (no corrections) (eV/atom): -2.81

---

Entry 3:
Material: Ba2TlB
Method: DFT, PBE
State: relaxed

Unit cell a=8.818 b=8.818 c=8.818 alpha=93.70 beta=93.70 gamma=150.56
Sites, in units of the cell vectors:
1 Ba 0.375 0.186 0.311
2 Ba 0.814 0.125 0.189
3 Ba 0.875 0.064 0.689
4 Ba 0.936 0.625 0.811
5 Tl 0.250 0.750 0.500
6 Tl 0.500 0.500 0.000
7 B 0.000 0.000 0.000
8 B 0.750 0.250 0.500

N(E_F) (states/eV/atom): 0.90
Total DFT energy (no corrections) (eV/atom): -2.87

---

Entry 4:
Material: BaTlB2
Method: DFT, PBE
State: relaxed

Unit cell a=4.933 b=4.933 c=4.933 alpha=60.00 beta=60.00 gamma=60.00
Sites, in units of the cell vectors:
1 Ba 0.000 0.000 0.000
2 Tl 0.500 0.500 0.500
3 B 0.250 0.250 0.250
4 B 0.750 0.750 0.750

N(E_F) (states/eV/atom): 0.52
Total DFT energy (no corrections) (eV/atom): -3.18

---

Entry 5:
Material: BaTlB2
Method: DFT, PBE
State: relaxed

Unit cell a=8.636 b=8.636 c=8.636 alpha=147.53 beta=147.53 gamma=46.58
Sites, in units of the cell vectors:
1 Ba 0.375 0.625 0.750
2 Ba 0.625 0.375 0.250
3 Tl 0.125 0.875 0.250
4 Tl 0.875 0.125 0.750
5 B 0.000 0.000 0.000
6 B 0.000 0.000 0.500
7 B 0.000 0.500 0.000
8 B 0.500 0.000 0.500

N(E_F) (states/eV/atom): 0.37
Total DFT energy (no corrections) (eV/atom): -3.42

---

Entry 6:
Material: Ba2TlB
Method: DFT, PBE
State: relaxed

Unit cell a=5.732 b=5.732 c=5.732 alpha=60.00 beta=60.00 gamma=60.00
Sites, in units of the cell vectors:
1 Ba 0.250 0.250 0.250
2 Ba 0.750 0.750 0.750
3 Tl 0.000 0.000 0.000
4 B 0.500 0.500 0.500

N(E_F) (states/eV/atom): 0.47
Total DFT energy (no corrections) (eV/atom): -2.75